LiBeH3 PBE optimized geometry; ΔE to the lowest computed polymorph = 0.0 meV per atom; SG = No. 2; E = -101.59 eV per cell; spin magnetization = 0.00 μB per cell
1.0
6.022 -0.001 -0.003
-0.041 6.139 -0.002
-0.856 -1.647 6.525
Li Be H
6 6 18
Direct
0.010 0.752 0.004
0.990 0.248 0.996
0.746 0.073 0.297
0.254 0.927 0.703
0.761 0.567 0.315
0.239 0.433 0.685
0.228 0.048 0.325
0.772 0.952 0.675
0.225 0.618 0.316
0.775 0.382 0.684
0.435 0.282 0.128
0.565 0.718 0.872
0.294 0.820 0.269
0.706 0.180 0.731
0.425 0.504 0.261
0.575 0.496 0.739
0.424 0.136 0.265
0.576 0.864 0.735
0.200 0.637 0.521
0.800 0.363 0.479
0.221 0.134 0.536
0.779 0.866 0.464
0.025 0.537 0.184
0.975 0.463 0.816
0.330 0.723 0.888
0.670 0.277 0.112
0.293 0.229 0.938
0.707 0.771 0.062
0.973 0.937 0.805
0.027 0.063 0.195